Na2Li2CoTeO6 (PBE+U, relaxed); energy relative to the lowest polymorph listed for this composition = 0 kJ/mol of formula units
1.0
3.471 2.300 3.254
-4.966 -0.795 1.621
1.798 -5.082 0.344
O Na Li Te Co
6 2 2 1 1
direct
0.924 0.601 0.215
0.211 0.195 0.226
0.399 0.076 0.785
0.094 0.458 0.796
0.542 0.906 0.204
0.805 0.789 0.774
0.350 0.650 0.500
0.667 0.333 0.500
0.496 0.504 0.000
0.020 0.980 0.500
0.162 0.838 0.000
0.830 0.170 0.000